CeSiPd6 | PBE | relaxed

Computed properties:
* DOS(E_F): 7.7 states/eV/cell
* ΔE_f (raw): -0.400 eV per atom

Cell: 6.625 6.625 6.625 Å, 50.10 50.10 50.10°
Fractional positions:
1 Ce 0.000 0.000 0.000
2 Si 0.500 0.500 0.500
3 Pd 0.064 0.584 0.584
4 Pd 0.416 0.416 0.936
5 Pd 0.416 0.936 0.416
6 Pd 0.584 0.064 0.584
7 Pd 0.584 0.584 0.064
8 Pd 0.936 0.416 0.416